(a)
Compound: LiZnFeSi
Source: the Open Quantum Materials Database
Functional: GGA-PBE
Structure: relaxed

It has space group F-43m (No. 216), with a = 5.7013 Å, b = 5.7013 Å, c = 5.7013 Å, α = 90.00°, β = 90.00° and γ = 90.00°. The asymmetric unit holds Li at (0.0000, 0.0000, 0.0000), Zn at (0.2500, 0.2500, 0.7500), Fe at (0.0000, 0.0000, 0.5000) and Si at (0.2500, 0.2500, 0.2500).

***

(b)
Compound: LiZnFeSi
Source: the Open Quantum Materials Database
Functional: GGA-PBE
Structure: relaxed

It has space group F-43m (No. 216), with a = 5.6918 Å, b = 5.6918 Å, c = 5.6918 Å, α = 90.00°, β = 90.00° and γ = 90.00°. The asymmetric unit holds Li at (0.0000, 0.0000, 0.0000), Zn at (0.2500, 0.2500, 0.2500), Fe at (0.2500, 0.2500, 0.7500) and Si at (0.0000, 0.0000, 0.5000).

***

Which of them is the least stable? Correct choice: (b).

***

(a)
Compound: LiZrFeSi
Source: the Open Quantum Materials Database
Functional: GGA-PBE
Structure: relaxed

It has space group F-43m (No. 216), with a = 6.1356 Å, b = 6.1356 Å, c = 6.1356 Å, α = 90.00°, β = 90.00° and γ = 90.00°. The asymmetric unit holds Li at (0.0000, 0.0000, 0.0000), Zr at (0.2500, 0.2500, 0.2500), Fe at (0.2500, 0.2500, 0.7500) and Si at (0.0000, 0.0000, 0.5000).

***

(b)
Compound: LiZrFeSi
Source: the Open Quantum Materials Database
Functional: GGA-PBE
Structure: relaxed

It has space group F-43m (No. 216), with a = 6.0058 Å, b = 6.0058 Å, c = 6.0058 Å, α = 90.00°, β = 90.00° and γ = 90.00°. The asymmetric unit holds Li at (0.0000, 0.0000, 0.0000), Zr at (0.2500, 0.2500, 0.7500), Fe at (0.0000, 0.0000, 0.5000) and Si at (0.2500, 0.2500, 0.2500).

***

Which of them is the least stable? Correct choice: (a).

***

(a)
Compound: SrLiFeTc
Source: the Open Quantum Materials Database
Functional: GGA-PBE
Structure: relaxed

It has space group F-43m (No. 216), with a = 6.5991 Å, b = 6.5991 Å, c = 6.5991 Å, α = 90.00°, β = 90.00° and γ = 90.00°. The asymmetric unit holds Sr at (0.0000, 0.0000, 0.0000), Li at (0.2500, 0.2500, 0.2500), Fe at (0.0000, 0.0000, 0.5000) and Tc at (0.2500, 0.2500, 0.7500).

***

(b)
Compound: SrLiFeTc
Source: the Open Quantum Materials Database
Functional: GGA-PBE
Structure: relaxed

It has space group F-43m (No. 216), with a = 6.7669 Å, b = 6.7669 Å, c = 6.7669 Å, α = 90.00°, β = 90.00° and γ = 90.00°. The asymmetric unit holds Sr at (0.0000, 0.0000, 0.0000), Li at (0.0000, 0.0000, 0.5000), Fe at (0.2500, 0.2500, 0.2500) and Tc at (0.2500, 0.2500, 0.7500).

***

Which of them is the least stable? Correct choice: (b).

***

(a)
Compound: LiTaTlFe
Source: the Open Quantum Materials Database
Functional: GGA-PBE
Structure: relaxed

It has space group F-43m (No. 216), with a = 6.2457 Å, b = 6.2457 Å, c = 6.2457 Å, α = 90.00°, β = 90.00° and γ = 90.00°. The asymmetric unit holds Li at (0.0000, 0.0000, 0.0000), Ta at (0.2500, 0.2500, 0.7500), Tl at (0.2500, 0.2500, 0.2500) and Fe at (0.0000, 0.0000, 0.5000).

***

(b)
Compound: LiTaTlFe
Source: the Open Quantum Materials Database
Functional: GGA-PBE
Structure: relaxed

It has space group F-43m (No. 216), with a = 6.4264 Å, b = 6.4264 Å, c = 6.4264 Å, α = 90.00°, β = 90.00° and γ = 90.00°. The asymmetric unit holds Li at (0.0000, 0.0000, 0.0000), Ta at (0.2500, 0.2500, 0.2500), Tl at (0.0000, 0.0000, 0.5000) and Fe at (0.2500, 0.2500, 0.7500).

***

Which of them is the least stable? Correct choice: (b).

***

(a)
Compound: LiZnFeTc
Source: the Open Quantum Materials Database
Functional: GGA-PBE
Structure: relaxed

It has space group F-43m (No. 216), with a = 5.7736 Å, b = 5.7736 Å, c = 5.7736 Å, α = 90.00°, β = 90.00° and γ = 90.00°. The asymmetric unit holds Li at (0.0000, 0.0000, 0.0000), Zn at (0.2500, 0.2500, 0.7500), Fe at (0.0000, 0.0000, 0.5000) and Tc at (0.2500, 0.2500, 0.2500).

***

(b)
Compound: LiZnFeTc
Source: the Open Quantum Materials Database
Functional: GGA-PBE
Structure: relaxed

It has space group F-43m (No. 216), with a = 5.9282 Å, b = 5.9282 Å, c = 5.9282 Å, α = 90.00°, β = 90.00° and γ = 90.00°. The asymmetric unit holds Li at (0.0000, 0.0000, 0.0000), Zn at (0.0000, 0.0000, 0.5000), Fe at (0.2500, 0.2500, 0.7500) and Tc at (0.2500, 0.2500, 0.2500).

***

Which of them is the least stable? Correct choice: (b).

***

(a)
Compound: LiYFeTe
Source: the Open Quantum Materials Database
Functional: GGA-PBE
Structure: relaxed

It has space group F-43m (No. 216), with a = 6.9601 Å, b = 6.9601 Å, c = 6.9601 Å, α = 90.00°, β = 90.00° and γ = 90.00°. The asymmetric unit holds Li at (0.0000, 0.0000, 0.0000), Y at (0.0000, 0.0000, 0.5000), Fe at (0.2500, 0.2500, 0.7500) and Te at (0.2500, 0.2500, 0.2500).

***

(b)
Compound: LiYFeTe
Source: the Open Quantum Materials Database
Functional: GGA-PBE
Structure: relaxed

It has space group F-43m (No. 216), with a = 6.4414 Å, b = 6.4414 Å, c = 6.4414 Å, α = 90.00°, β = 90.00° and γ = 90.00°. The asymmetric unit holds Li at (0.0000, 0.0000, 0.0000), Y at (0.2500, 0.2500, 0.7500), Fe at (0.0000, 0.0000, 0.5000) and Te at (0.2500, 0.2500, 0.2500).

***

Which of them is the least stable? Correct choice: (a).

***

(a)
Compound: LiZrTlFe
Source: the Open Quantum Materials Database
Functional: GGA-PBE
Structure: relaxed

It has space group F-43m (No. 216), with a = 6.6122 Å, b = 6.6122 Å, c = 6.6122 Å, α = 90.00°, β = 90.00° and γ = 90.00°. The asymmetric unit holds Li at (0.0000, 0.0000, 0.0000), Zr at (0.2500, 0.2500, 0.2500), Tl at (0.0000, 0.0000, 0.5000) and Fe at (0.2500, 0.2500, 0.7500).

***

(b)
Compound: LiZrTlFe
Source: the Open Quantum Materials Database
Functional: GGA-PBE
Structure: relaxed

It has space group F-43m (No. 216), with a = 6.4774 Å, b = 6.4774 Å, c = 6.4774 Å, α = 90.00°, β = 90.00° and γ = 90.00°. The asymmetric unit holds Li at (0.0000, 0.0000, 0.0000), Zr at (0.2500, 0.2500, 0.7500), Tl at (0.2500, 0.2500, 0.2500) and Fe at (0.0000, 0.0000, 0.5000).

***

Which of them is the least stable? Correct choice: (a).

***

(a)
Compound: LiUFe
Source: the Open Quantum Materials Database
Functional: GGA-PBE
Structure: relaxed

It has space group F-43m (No. 216), with a = 5.7649 Å, b = 5.7649 Å, c = 5.7649 Å, α = 90.00°, β = 90.00° and γ = 90.00°. The asymmetric unit holds Li at (0.0000, 0.0000, 0.0000), U at (0.2500, 0.2500, 0.2500) and Fe at (0.2500, 0.2500, 0.7500).

***

(b)
Compound: LiUFe
Source: the Open Quantum Materials Database
Functional: GGA-PBE
Structure: relaxed

It has space group F-43m (No. 216), with a = 5.9941 Å, b = 5.9941 Å, c = 5.9941 Å, α = 90.00°, β = 90.00° and γ = 90.00°. The asymmetric unit holds Li at (0.0000, 0.0000, 0.0000), U at (0.2500, 0.2500, 0.7500) and Fe at (0.0000, 0.0000, 0.5000).

***

Which of them is the least stable? Correct choice: (b).

***

(a)
Compound: LiYFeW
Source: the Open Quantum Materials Database
Functional: GGA-PBE
Structure: relaxed

It has space group F-43m (No. 216), with a = 6.3401 Å, b = 6.3401 Å, c = 6.3401 Å, α = 90.00°, β = 90.00° and γ = 90.00°. The asymmetric unit holds Li at (0.0000, 0.0000, 0.0000), Y at (0.2500, 0.2500, 0.7500), Fe at (0.2500, 0.2500, 0.2500) and W at (0.0000, 0.0000, 0.5000).

***

(b)
Compound: LiYFeW
Source: the Open Quantum Materials Database
Functional: GGA-PBE
Structure: relaxed

It has space group F-43m (No. 216), with a = 6.3506 Å, b = 6.3506 Å, c = 6.3506 Å, α = 90.00°, β = 90.00° and γ = 90.00°. The asymmetric unit holds Li at (0.0000, 0.0000, 0.0000), Y at (0.2500, 0.2500, 0.7500), Fe at (0.0000, 0.0000, 0.5000) and W at (0.2500, 0.2500, 0.2500).

***

Which of them is the least stable? Correct choice: (a).

***

(a)
Compound: Lu3Fe2
Source: the Open Quantum Materials Database
Functional: GGA-PBE
Structure: relaxed

It has space group C2/m (No. 12), with a = 12.7774 Å, b = 3.8247 Å, c = 9.1177 Å, α = 90.00°, β = 110.54° and γ = 90.00°. The asymmetric unit holds Lu at (0.1078, 0.0000, 0.1792), Lu at (0.1359, 0.5000, 0.4947), Lu at (0.1374, 0.5000, 0.8787), Fe at (0.0432, 0.0000, 0.6352) and Fe at (0.2309, 0.0000, 0.7422).

***

(b)
Compound: Lu3Fe2
Source: the Open Quantum Materials Database
Functional: GGA-PBE
Structure: relaxed

It has space group R-3c (No. 167, hexagonal axes), with a = 6.4698 Å, b = 6.4698 Å, c = 18.1096 Å, α = 90.00°, β = 90.00° and γ = 120.00°. The asymmetric unit holds Lu at (0.0000, 0.3851, 0.2500) and Fe at (0.0000, 0.0000, 0.1885).

***

Which of them is the least stable? Correct choice: (b).

***

(a)
Compound: LuMgNbFe
Source: the Open Quantum Materials Database
Functional: GGA-PBE
Structure: relaxed

It has space group F-43m (No. 216), with a = 6.5546 Å, b = 6.5546 Å, c = 6.5546 Å, α = 90.00°, β = 90.00° and γ = 90.00°. The asymmetric unit holds Lu at (0.0000, 0.0000, 0.0000), Mg at (0.2500, 0.2500, 0.2500), Nb at (0.2500, 0.2500, 0.7500) and Fe at (0.0000, 0.0000, 0.5000).

***

(b)
Compound: LuMgNbFe
Source: the Open Quantum Materials Database
Functional: GGA-PBE
Structure: relaxed

It has space group F-43m (No. 216), with a = 6.6235 Å, b = 6.6235 Å, c = 6.6235 Å, α = 90.00°, β = 90.00° and γ = 90.00°. The asymmetric unit holds Lu at (0.0000, 0.0000, 0.0000), Mg at (0.2500, 0.2500, 0.2500), Nb at (0.0000, 0.0000, 0.5000) and Fe at (0.2500, 0.2500, 0.7500).

***

Which of them is the least stable? Correct choice: (a).

***

(a)
Compound: LuMgTlFe
Source: the Open Quantum Materials Database
Functional: GGA-PBE
Structure: relaxed

It has space group F-43m (No. 216), with a = 6.8949 Å, b = 6.8949 Å, c = 6.8949 Å, α = 90.00°, β = 90.00° and γ = 90.00°. The asymmetric unit holds Lu at (0.0000, 0.0000, 0.0000), Mg at (0.2500, 0.2500, 0.7500), Tl at (0.2500, 0.2500, 0.2500) and Fe at (0.0000, 0.0000, 0.5000).

***

(b)
Compound: LuMgTlFe
Source: the Open Quantum Materials Database
Functional: GGA-PBE
Structure: relaxed

It has space group F-43m (No. 216), with a = 6.8328 Å, b = 6.8328 Å, c = 6.8328 Å, α = 90.00°, β = 90.00° and γ = 90.00°. The asymmetric unit holds Lu at (0.0000, 0.0000, 0.0000), Mg at (0.2500, 0.2500, 0.2500), Tl at (0.0000, 0.0000, 0.5000) and Fe at (0.2500, 0.2500, 0.7500).

***

Which of them is the least stable? Correct choice: (b).

***

(a)
Compound: LuFeSbMo
Source: the Open Quantum Materials Database
Functional: GGA-PBE
Structure: relaxed

It has space group F-43m (No. 216), with a = 6.5988 Å, b = 6.5988 Å, c = 6.5988 Å, α = 90.00°, β = 90.00° and γ = 90.00°. The asymmetric unit holds Lu at (0.0000, 0.0000, 0.0000), Fe at (0.0000, 0.0000, 0.5000), Sb at (0.2500, 0.2500, 0.2500) and Mo at (0.2500, 0.2500, 0.7500).

***

(b)
Compound: LuFeSbMo
Source: the Open Quantum Materials Database
Functional: GGA-PBE
Structure: relaxed

It has space group F-43m (No. 216), with a = 6.5282 Å, b = 6.5282 Å, c = 6.5282 Å, α = 90.00°, β = 90.00° and γ = 90.00°. The asymmetric unit holds Lu at (0.0000, 0.0000, 0.0000), Fe at (0.2500, 0.2500, 0.7500), Sb at (0.0000, 0.0000, 0.5000) and Mo at (0.2500, 0.2500, 0.2500).

***

Which of them is the least stable? Correct choice: (a).

***

(a)
Compound: LuFeSnMo
Source: the Open Quantum Materials Database
Functional: GGA-PBE
Structure: relaxed

It has space group F-43m (No. 216), with a = 6.5816 Å, b = 6.5816 Å, c = 6.5816 Å, α = 90.00°, β = 90.00° and γ = 90.00°. The asymmetric unit holds Lu at (0.0000, 0.0000, 0.0000), Fe at (0.2500, 0.2500, 0.7500), Sn at (0.0000, 0.0000, 0.5000) and Mo at (0.2500, 0.2500, 0.2500).

***

(b)
Compound: LuFeSnMo
Source: the Open Quantum Materials Database
Functional: GGA-PBE
Structure: relaxed

It has space group F-43m (No. 216), with a = 6.6543 Å, b = 6.6543 Å, c = 6.6543 Å, α = 90.00°, β = 90.00° and γ = 90.00°. The asymmetric unit holds Lu at (0.0000, 0.0000, 0.0000), Fe at (0.0000, 0.0000, 0.5000), Sn at (0.2500, 0.2500, 0.2500) and Mo at (0.2500, 0.2500, 0.7500).

***

Which of them is the least stable? Correct choice: (b).

***

(a)
Compound: LuTlFeMo
Source: the Open Quantum Materials Database
Functional: GGA-PBE
Structure: relaxed

It has space group F-43m (No. 216), with a = 6.7044 Å, b = 6.7044 Å, c = 6.7044 Å, α = 90.00°, β = 90.00° and γ = 90.00°. The asymmetric unit holds Lu at (0.0000, 0.0000, 0.0000), Tl at (0.2500, 0.2500, 0.2500), Fe at (0.0000, 0.0000, 0.5000) and Mo at (0.2500, 0.2500, 0.7500).

***

(b)
Compound: LuTlFeMo
Source: the Open Quantum Materials Database
Functional: GGA-PBE
Structure: relaxed

It has space group F-43m (No. 216), with a = 6.6893 Å, b = 6.6893 Å, c = 6.6893 Å, α = 90.00°, β = 90.00° and γ = 90.00°. The asymmetric unit holds Lu at (0.0000, 0.0000, 0.0000), Tl at (0.0000, 0.0000, 0.5000), Fe at (0.2500, 0.2500, 0.7500) and Mo at (0.2500, 0.2500, 0.2500).

***

Which of them is the least stable? Correct choice: (a).